(1)
CsIn2I3 | PBE | optimized geometry

Summary:
- energy above the most stable polymorph in this dataset (meV per atom) = 0.0
- size of the total moment (Bohr magnetons per cell) = 0.00

Cell lengths 16.349, 7.373, 10.259 Å; angles 90.00, 108.27, 90.00 degrees
Space group C2/c (No. 15)
Unique sites:
Cs (0.000, 0.000, 0.250) (multiplicity 4)
In (0.165, 0.495, 0.083) (multiplicity 8)
I (0.000, 0.500, 0.250) (multiplicity 4)
I (0.185, 0.013, 0.093) (multiplicity 8)

(2)
Cs2In3I5 | PBE | optimized geometry

Summary:
- size of the total moment (Bohr magnetons per cell) = 0.00

Cell lengths 18.581, 5.043, 10.776 Å; angles 90.00, 108.93, 90.00 degrees
Space group C2/m (No. 12)
Unique sites:
Cs (0.172, 0.000, 0.215) (multiplicity 4)
In (0.000, 0.000, 0.500) (multiplicity 2)
In (0.062, 0.500, 0.747) (multiplicity 4)
I (0.000, 0.500, 0.000) (multiplicity 2)
I (0.133, 0.500, 0.471) (multiplicity 4)
I (0.177, 0.000, 0.846) (multiplicity 4)

(3)
Cs2In2I5 | PBE | optimized geometry

Summary:
- energy above the most stable polymorph in this dataset (meV per atom) = 0.0
- size of the total moment (Bohr magnetons per cell) = 0.00

Cell lengths 6.337, 6.337, 11.505 Å; angles 90.00, 90.00, 90.00 degrees
Space group P4/mmm (No. 123)
Unique sites:
Cs (0.000, 0.000, 0.000) (multiplicity 1)
Cs (0.000, 0.000, 0.500) (multiplicity 1)
In (0.500, 0.500, 0.234) (multiplicity 2)
I (0.000, 0.500, 0.214) (multiplicity 4)
I (0.500, 0.500, 0.500) (multiplicity 1)

no.,raw formation energy (meV per atom)
1,-803.1
2,-848.8
3,-939.6